This record from the Alexandria database describes an optimized crystal structure of Cs2La2PuO6. The functional is PBE.

```
data_Cs2La2PuO6
_chemical_formula_sum 'Cs4 La4 Pu2 O12'
_cell_length_a 6.3927
_cell_length_b 10.9960
_cell_length_c 7.3275
_cell_angle_alpha 90.00
_cell_angle_beta 106.00
_cell_angle_gamma 90.00
_space_group_name_H-M_alt 'C 1 2/m 1'
_space_group_IT_number 12
loop_
_space_group_symop_operation_xyz
'x,y,z'
'-x,-y,-z'
'-x,y,-z'
'x,-y,z'
'x+1/2,y+1/2,z'
'-x+1/2,-y+1/2,-z'
'-x+1/2,y+1/2,-z'
'x+1/2,-y+1/2,z'
loop_
_atom_site_label
_atom_site_type_symbol
_atom_site_fract_x
_atom_site_fract_y
_atom_site_fract_z
Cs1 Cs 0.0000 0.1664 0.0000
La1 La 0.0000 0.3342 0.5000
Pu1 Pu 0.0000 0.0000 0.5000
O1 O 0.2026 0.1593 0.6552
O2 O 0.2484 0.5000 0.6580
```

Computed properties:
E_form (uncorrected)	-30.0	eV per formula unit
calculated volume	495.1	Å³ per cell



This record from the Alexandria database describes an optimized crystal structure of SbPN2F. The functional is PBE.

```
data_SbPN2F
_chemical_formula_sum 'Sb1 P1 N2 F1'
_cell_length_a 4.1103
_cell_length_b 4.1103
_cell_length_c 4.0228
_cell_angle_alpha 90.00
_cell_angle_beta 90.00
_cell_angle_gamma 90.00
_space_group_name_H-M_alt 'P 4/m m m'
_space_group_IT_number 123
_space_group_name_Hall '-P 4 2'
loop_
_atom_site_label
_atom_site_type_symbol
_atom_site_fract_x
_atom_site_fract_y
_atom_site_fract_z
Sb1 Sb 0.0000 0.0000 0.0000
P1 P 0.5000 0.5000 0.5000
N1 N 0.0000 0.5000 0.0000
F1 F 0.0000 0.0000 0.5000
```

Computed properties:
E_form (uncorrected)	4.5	eV per formula unit
offset from the most stable computed form	499.2	meV/atom
calculated volume	68.0	Å³ per cell



This record from the Alexandria database describes an optimized crystal structure of Ca2TcW. The functional is PBE.

```
data_Ca2TcW
_chemical_formula_sum 'Ca8 Tc4 W4'
_cell_length_a 7.0705
_cell_length_b 7.0705
_cell_length_c 7.0705
_cell_angle_alpha 90.00
_cell_angle_beta 90.00
_cell_angle_gamma 90.00
_space_group_name_H-M_alt 'F m -3 m'
_space_group_IT_number 225
_space_group_name_Hall '-F 4 2 3'
loop_
_atom_site_label
_atom_site_type_symbol
_atom_site_fract_x
_atom_site_fract_y
_atom_site_fract_z
Ca1 Ca 0.2500 0.2500 0.2500
Tc1 Tc 0.0000 0.0000 0.0000
W1 W 0.0000 0.0000 0.5000
```

Computed properties:
ΔE_f	1358	meV per atom
offset from the most stable computed form	1042.7	meV/atom
calculated volume	353.5	Å³ per cell



This record from the Alexandria database describes an optimized crystal structure of In2CoHPd. The functional is PBE.

```
data_In2CoHPd
_chemical_formula_sum 'In2 Co1 H1 Pd1'
_cell_length_a 4.6880
_cell_length_b 4.6880
_cell_length_c 3.1931
_cell_angle_alpha 90.00
_cell_angle_beta 90.00
_cell_angle_gamma 90.00
_space_group_name_H-M_alt 'P 4/m m m'
_space_group_IT_number 123
_space_group_name_Hall '-P 4 2'
loop_
_atom_site_label
_atom_site_type_symbol
_atom_site_fract_x
_atom_site_fract_y
_atom_site_fract_z
In1 In 0.0000 0.5000 0.0000
Co1 Co 0.0000 0.0000 0.5000
H1 H 0.0000 0.0000 0.0000
Pd1 Pd 0.5000 0.5000 0.5000
```

Computed properties:
calculated volume	70.2	Å³ per cell
final energy	-21.47	eV for the cell shown



This record from the Alexandria database describes an optimized crystal structure of Te2Rh. The functional is PBE.

```
data_Te2Rh
_chemical_formula_sum 'Te8 Rh4'
_cell_length_a 4.0398
_cell_length_b 13.5743
_cell_length_c 5.4605
_cell_angle_alpha 90.00
_cell_angle_beta 90.00
_cell_angle_gamma 90.00
_space_group_name_H-M_alt 'C m c m'
_space_group_IT_number 63
_space_group_name_Hall '-C 2c 2'
loop_
_atom_site_label
_atom_site_type_symbol
_atom_site_fract_x
_atom_site_fract_y
_atom_site_fract_z
Te1 Te 0.0000 0.0449 0.2500
Te2 Te 0.0000 0.3006 0.2500
Rh1 Rh 0.0000 0.3316 0.7500
```

Computed properties:
E_form (uncorrected)	-1.0	eV per formula unit
calculated volume	299.4	Å³ per cell



This record from the Alexandria database describes an optimized crystal structure of EuLuNi4. The functional is PBE.

```
data_EuLuNi4
_chemical_formula_sum 'Eu4 Lu4 Ni16'
_cell_length_a 7.1748
_cell_length_b 7.1748
_cell_length_c 7.1748
_cell_angle_alpha 90.00
_cell_angle_beta 90.00
_cell_angle_gamma 90.00
_space_group_name_H-M_alt 'F -4 3 m'
_space_group_IT_number 216
_space_group_name_Hall 'F -4 2 3'
loop_
_atom_site_label
_atom_site_type_symbol
_atom_site_fract_x
_atom_site_fract_y
_atom_site_fract_z
Eu1 Eu 0.0000 0.0000 0.0000
Lu1 Lu 0.2500 0.2500 0.7500
Ni1 Ni 0.1244 0.1244 0.3756
```

Computed properties:
ΔE_f	-330	meV per atom
calculated volume	369.4	Å³ per cell